Compound: SrMnTe2
Source: the Alexandria database
Functional: PBEsol
Structure: relaxed

Computed properties:
**Magnetization**: 1.1856 μB/atom
**Energy relative to the elements, uncorrected**: -0.412 eV/atom
**Space-group type**: P4/mmm, No. 123
**Energy**: -20.3 eV for the cell shown
**Crystal system**: tetragonal
**ΔE to the lowest computed polymorph**: 0.324 eV/atom

POSCAR file:
```
SrMnTe2
1.0
3.862 0.000 0.000
0.000 5.300 0.000
0.000 0.000 5.300
Mn Sr Te
1 1 2
Direct
0.500 0.500 0.500
0.500 0.000 0.000
0.000 0.000 0.500
0.000 0.500 0.000
```

Compound: PmTm3
Source: the Alexandria database
Functional: PBEsol
Structure: relaxed

Computed properties:
**Magnetization**: 0.0001 μB/atom
**Space-group type**: I4/mmm, No. 139
**DFT formation energy**: 0.0207 eV per atom
**Energy**: -19.8 eV for the cell shown
**Crystal system**: tetragonal
**ΔE to the lowest computed polymorph**: 0.011 eV/atom

POSCAR file:
```
PmTm3
1.0
-4.005 -0.500 2.768
-1.454 -3.755 -2.782
5.128 -0.959 2.920
Tm Pm
3 1
Direct
0.250 0.750 0.500
0.750 0.250 0.500
0.500 0.500 0.000
0.000 0.000 0.000
```

Compound: Ag3PdI
Source: the Alexandria database
Functional: PBEsol
Structure: relaxed

Computed properties:
**Magnetization**: 0.0000 μB/atom
**Energy relative to the elements, uncorrected**: 1.208 eV/atom
**Space-group type**: Pm-3m, No. 221
**Energy**: -11.6 eV for the cell shown
**Crystal system**: cubic

POSCAR file:
```
Ag3PdI
1.0
-0.437 -4.003 -3.252
-1.094 -3.117 3.985
-5.040 1.023 -0.583
I Pd Ag
1 1 3
Direct
0.000 0.000 0.000
0.500 0.500 0.500
0.000 0.500 0.000
0.000 0.000 0.500
0.500 0.000 0.000
```

Compound: YTaTl2
Source: the Alexandria database
Functional: PBEsol
Structure: relaxed

Computed properties:
**Magnetization**: 0.0000 μB/atom
**Space-group type**: Pmm2, No. 25
**DFT formation energy**: 0.3147 eV per atom
**Energy**: -23.4 eV for the cell shown
**Crystal system**: orthorhombic

POSCAR file:
```
YTaTl2
1.0
3.453 0.000 0.000
0.000 4.220 0.000
0.000 0.000 6.362
Ta Tl Y
1 2 1
Direct
0.500 0.500 0.761
0.000 0.000 0.986
0.500 0.500 0.244
0.000 0.000 0.509
```

Compound: Ca3HgN
Source: the Alexandria database
Functional: PBEsol
Structure: relaxed

Computed properties:
**Magnetization**: 0.0000 μB/atom
**Energy relative to the elements, uncorrected**: -0.751 eV/atom
**Space-group type**: Pm-3m, No. 221
**Energy**: -19.2 eV for the cell shown
**Crystal system**: cubic

POSCAR file:
```
Ca3HgN
1.0
4.844 0.000 0.000
0.000 4.844 0.000
0.000 0.000 4.844
Ca Hg N
3 1 1
Direct
0.000 0.500 0.000
0.000 0.000 0.500
0.500 0.000 0.000
0.500 0.500 0.500
0.000 0.000 0.000
```

Compound: Na2BiO3
Source: the Alexandria database
Functional: PBEsol
Structure: relaxed

Computed properties:
**Magnetization**: 0.0001 μB/atom
**Energy relative to the elements, uncorrected**: -1.361 eV/atom
**Space-group type**: C2/m, No. 12
**Energy**: -62.0 eV for the cell shown
**Crystal system**: monoclinic

POSCAR file:
```
Na2BiO3
1.0
-4.537 3.035 -2.186
-0.467 -4.955 -3.185
-1.471 -0.041 5.722
Na Bi O
4 2 6
Direct
0.500 0.159 0.841
0.500 0.841 0.159
0.500 0.500 0.500
0.000 0.000 0.000
0.000 0.667 0.333
0.000 0.333 0.667
0.227 0.716 0.716
0.779 0.563 0.925
0.779 0.925 0.563
0.221 0.437 0.075
0.221 0.075 0.437
0.773 0.284 0.284
```

Compound: MnFe2Ni
Source: the Alexandria database
Functional: PBEsol
Structure: relaxed

Computed properties:
**Magnetization**: 0.5686 μB/atom
**Space-group type**: Cmmm, No. 65
**DFT formation energy**: 0.0584 eV per atom
**Energy**: -33.6 eV for the cell shown
**Crystal system**: orthorhombic

POSCAR file:
```
MnFe2Ni
1.0
2.446 0.000 0.000
0.000 4.297 0.004
0.000 -1.518 4.020
Ni Mn Fe
1 1 2
Direct
0.500 0.500 0.500
0.500 0.000 0.000
0.000 0.500 0.000
0.000 0.000 0.500
```

Compound: YSc3
Source: the Alexandria database
Functional: PBEsol
Structure: relaxed

Computed properties:
**Magnetization**: 0.0001 μB/atom
**Space-group type**: R-3m, No. 166
**DFT formation energy**: 0.0639 eV per atom
**Energy**: -26.4 eV for the cell shown
**Crystal system**: trigonal
**ΔE to the lowest computed polymorph**: 0.045 eV/atom

POSCAR file:
```
YSc3
1.0
-2.627 1.881 0.655
-2.403 -1.145 1.945
3.316 4.249 9.388
Y Sc
1 3
Direct
0.500 0.500 0.500
0.747 0.747 0.759
0.000 0.000 0.000
0.253 0.253 0.241
```

Compound: NiOsRh2
Source: the Alexandria database
Functional: PBEsol
Structure: relaxed

Computed properties:
**Magnetization**: 0.0007 μB/atom
**Space-group type**: Pmmm, No. 47
**DFT formation energy**: 0.0246 eV per atom
**Energy**: -34.6 eV for the cell shown
**Crystal system**: orthorhombic
**ΔE to the lowest computed polymorph**: 0.000 eV/atom

POSCAR file:
```
NiOsRh2
1.0
2.662 0.000 0.000
0.000 3.711 0.000
0.000 0.000 5.224
Rh Os Ni
2 1 1
Direct
0.000 0.000 0.753
0.000 0.000 0.247
0.500 0.500 0.500
0.500 0.500 0.000
```

Compound: Li3NiAsCO7
Source: the Alexandria database
Functional: PBEsol
Structure: relaxed

Computed properties:
**Magnetization**: 0.1499 μB/atom
**Energy relative to the elements, uncorrected**: -1.557 eV/atom
**Space-group type**: P2_1/m, No. 11
**Energy**: -167.6 eV for the cell shown
**Crystal system**: monoclinic

POSCAR file:
```
Li3NiAsCO7
1.0
-1.855 -4.592 0.361
0.815 0.172 6.374
-7.441 3.867 0.847
Li Ni As C O
6 2 2 2 14
Direct
0.215 0.250 0.601
0.785 0.750 0.399
0.749 0.012 0.767
0.749 0.488 0.767
0.251 0.512 0.233
0.251 0.988 0.233
0.207 0.750 0.819
0.793 0.250 0.181
0.280 0.250 0.917
0.720 0.750 0.083
0.315 0.750 0.534
0.685 0.250 0.466
0.620 0.250 0.610
0.380 0.750 0.390
0.066 0.750 0.568
0.934 0.250 0.432
0.500 0.750 0.653
0.500 0.250 0.347
0.628 0.250 0.946
0.372 0.750 0.054
0.837 0.750 0.899
0.163 0.250 0.101
0.166 0.052 0.791
0.166 0.448 0.791
0.834 0.552 0.209
0.834 0.948 0.209
```

Compound: KBeP2
Source: the Alexandria database
Functional: PBEsol
Structure: relaxed

Computed properties:
**Magnetization**: 0.0001 μB/atom
**Space-group type**: Immm, No. 71
**DFT formation energy**: 0.0078 eV per atom
**Energy**: -16.7 eV for the cell shown
**Crystal system**: orthorhombic

POSCAR file:
```
KBeP2
1.0
-2.383 2.326 -1.462
-4.717 -0.670 2.101
-0.626 4.144 3.090
P K Be
2 1 1
Direct
0.348 0.652 0.652
0.652 0.348 0.348
0.500 0.000 0.000
0.000 0.500 0.500
```

Compound: SrRhSe4
Source: the Alexandria database
Functional: PBEsol
Structure: relaxed

Computed properties:
**Magnetization**: 0.0004 μB/atom
**Energy relative to the elements, uncorrected**: 0.156 eV/atom
**Space-group type**: F-43m, No. 216
**Energy**: -24.4 eV for the cell shown
**Crystal system**: cubic

POSCAR file:
```
SrRhSe4
1.0
5.655 0.000 0.000
2.827 4.897 0.000
2.827 1.632 4.617
Rh Se Sr
1 4 1
Direct
0.000 0.000 0.000
0.373 0.373 0.373
0.373 0.373 0.880
0.880 0.373 0.373
0.373 0.880 0.373
0.750 0.750 0.750
```